# SmTm2Mg | Alexandria | PBE-GGA | relaxed
data_SmTm2Mg
_chemical_formula_sum 'Sm1 Tm2 Mg1'
_symmetry_space_group_name_H-M 'P 4/m m m'
_symmetry_Int_Tables_number 123
_symmetry_space_group_name_Hall '-P 4 2'
_cell_length_a 4.8746
_cell_length_b 4.8746
_cell_length_c 4.9410
_cell_angle_alpha 90.00
_cell_angle_beta 90.00
_cell_angle_gamma 90.00
loop_
_atom_site_label
_atom_site_type_symbol
_atom_site_fract_x
_atom_site_fract_y
_atom_site_fract_z
Sm1 Sm 0.0000 0.0000 0.0000
Tm1 Tm 0.0000 0.5000 0.5000
Mg1 Mg 0.5000 0.5000 0.0000
# **V**: 29.352 Å³ per atom
# **Mass density**: 7.25 g cm⁻³
# **Formation energy**: 27 meV per atom
# **D(E_F)**: 7.0 states/eV/f.u.
# **Energy above the most stable polymorph in this dataset**: 53.3 meV/atom

---

# Sm12TmMg3 | Alexandria | PBE-GGA | relaxed
data_Sm12TmMg3
_chemical_formula_sum 'Sm12 Tm1 Mg3'
_symmetry_space_group_name_H-M 'P 4/m m m'
_symmetry_Int_Tables_number 123
_symmetry_space_group_name_Hall '-P 4 2'
_cell_length_a 5.0006
_cell_length_b 5.0006
_cell_length_c 20.1538
_cell_angle_alpha 90.00
_cell_angle_beta 90.00
_cell_angle_gamma 90.00
loop_
_atom_site_label
_atom_site_type_symbol
_atom_site_fract_x
_atom_site_fract_y
_atom_site_fract_z
Sm1 Sm 0.0000 0.0000 0.0000
Sm2 Sm 0.0000 0.0000 0.2472
Sm3 Sm 0.0000 0.0000 0.5000
Sm4 Sm 0.0000 0.5000 0.1237
Sm5 Sm 0.0000 0.5000 0.3726
Tm1 Tm 0.5000 0.5000 0.5000
Mg1 Mg 0.5000 0.5000 0.0000
Mg2 Mg 0.5000 0.5000 0.2461
# **V**: 31.498 Å³ per atom
# **Mass density**: 6.74 g cm⁻³
# **Formation energy**: 9 meV per atom
# **D(E_F)**: 26.2 states/eV/f.u.

---

# Sm5Tm4Mg | Alexandria | PBE-GGA | relaxed
data_Sm5Tm4Mg
_chemical_formula_sum 'Sm5 Tm4 Mg1'
_symmetry_space_group_name_H-M 'P 4/m m m'
_symmetry_Int_Tables_number 123
_symmetry_space_group_name_Hall '-P 4 2'
_cell_length_a 3.5821
_cell_length_b 3.5821
_cell_length_c 24.3440
_cell_angle_alpha 90.00
_cell_angle_beta 90.00
_cell_angle_gamma 90.00
loop_
_atom_site_label
_atom_site_type_symbol
_atom_site_fract_x
_atom_site_fract_y
_atom_site_fract_z
Sm1 Sm 0.0000 0.0000 0.0000
Sm2 Sm 0.0000 0.0000 0.2042
Sm3 Sm 0.0000 0.0000 0.4082
Tm1 Tm 0.5000 0.5000 0.1022
Tm2 Tm 0.5000 0.5000 0.3069
Mg1 Mg 0.5000 0.5000 0.5000
# **V**: 31.237 Å³ per atom
# **Mass density**: 7.72 g cm⁻³
# **Formation energy**: 3 meV per atom
# **D(E_F)**: 13.8 states/eV/f.u.

---

# Sm2Y2TmMg5 | Alexandria | PBE-GGA | relaxed
data_Sm2Y2TmMg5
_chemical_formula_sum 'Sm4 Y4 Tm2 Mg10'
_symmetry_space_group_name_H-M 'P 4/m b m'
_symmetry_Int_Tables_number 127
_symmetry_space_group_name_Hall '-P 4 2ab'
_cell_length_a 10.6267
_cell_length_b 10.6267
_cell_length_c 5.0661
_cell_angle_alpha 90.00
_cell_angle_beta 90.00
_cell_angle_gamma 90.00
loop_
_atom_site_label
_atom_site_type_symbol
_atom_site_fract_x
_atom_site_fract_y
_atom_site_fract_z
Sm1 Sm 0.1218 0.3782 0.0000
Y1 Y 0.1770 0.6770 0.0000
Tm1 Tm 0.0000 0.0000 0.0000
Mg1 Mg 0.0000 0.5000 0.5000
Mg2 Mg 0.0680 0.1939 0.5000
# **V**: 28.605 Å³ per atom
# **Mass density**: 4.46 g cm⁻³
# **Formation energy**: 88 meV per atom
# **D(E_F)**: 7.3 states/eV/f.u.